A relaxed ReS2ICl crystal. Source: Alexandria via LeMat-Bulk, functional GGA-PBE.

Cell and atoms, written as CIF:
```
data_ReS2ICl
_cell_length_a 5.144
_cell_length_b 5.144
_cell_length_c 5.371
_cell_angle_alpha 90.00
_cell_angle_beta 90.00
_cell_angle_gamma 90.00
_symmetry_space_group_name_H-M 'P 1'
_symmetry_Int_Tables_number 1
_symmetry_space_group_name_Hall 'P 1'
loop_
_atom_site_label
_atom_site_type_symbol
_atom_site_fract_x
_atom_site_fract_y
_atom_site_fract_z
_atom_site_occupancy
Re1 Re 0.000 0.000 0.000 1
S1 S 0.000 0.500 0.500 1
S2 S 0.500 0.000 0.500 1
I1 I 0.500 0.500 0.500 1
Cl1 Cl 0.500 0.500 0.000 1
```

The value obtained for the energy above the most stable polymorph in this dataset is 1407 meV/atom. The calculation puts the formation energy without anion corrections at 1.6666 eV per atom.